[1]
# Ba2LiEr, relaxed, DFT PBE
data_Ba2LiEr
_chemical_formula_sum 'Ba6 Li3 Er3'
_symmetry_space_group_name_H-M 'R -3 m'
_symmetry_Int_Tables_number 166
_symmetry_space_group_name_Hall '-R 3 2"'
_cell_length_a 3.7647
_cell_length_b 3.7647
_cell_length_c 39.7205
_cell_angle_alpha 90.00
_cell_angle_beta 90.00
_cell_angle_gamma 120.00
loop_
_atom_site_label
_atom_site_type_symbol
_atom_site_fract_x
_atom_site_fract_y
_atom_site_fract_z
Ba1 Ba 0.0000 0.0000 0.0891
Li1 Li 0.0000 0.0000 0.5000
Er1 Er 0.0000 0.0000 0.0000
# Total moment (μB/cell): 0.0
# Calculated formation energy (eV/atom): 0.3821
# Density of states at the Fermi level (states/eV per cell): 14.29

---

[2]
# PuScAgAu, relaxed, DFT PBE
data_PuScAgAu
_chemical_formula_sum 'Pu4 Sc4 Ag4 Au4'
_symmetry_space_group_name_H-M 'F -4 3 m'
_symmetry_Int_Tables_number 216
_symmetry_space_group_name_Hall 'F -4 2 3'
_cell_length_a 7.1079
_cell_length_b 7.1079
_cell_length_c 7.1079
_cell_angle_alpha 90.00
_cell_angle_beta 90.00
_cell_angle_gamma 90.00
loop_
_atom_site_label
_atom_site_type_symbol
_atom_site_fract_x
_atom_site_fract_y
_atom_site_fract_z
Pu1 Pu 0.0000 0.0000 0.0000
Sc1 Sc 0.0000 0.0000 0.5000
Ag1 Ag 0.2500 0.2500 0.2500
Au1 Au 0.2500 0.2500 0.7500
# Total moment (μB/cell): 23.0
# Calculated formation energy (eV/atom): -0.2638
# Density of states at the Fermi level (states/eV per cell): 43.44

---

[3]
# LaPmMgSn, relaxed, DFT PBE
data_LaPmMgSn
_chemical_formula_sum 'La4 Pm4 Mg4 Sn4'
_symmetry_space_group_name_H-M 'F -4 3 m'
_symmetry_Int_Tables_number 216
_symmetry_space_group_name_Hall 'F -4 2 3'
_cell_length_a 7.7591
_cell_length_b 7.7591
_cell_length_c 7.7591
_cell_angle_alpha 90.00
_cell_angle_beta 90.00
_cell_angle_gamma 90.00
loop_
_atom_site_label
_atom_site_type_symbol
_atom_site_fract_x
_atom_site_fract_y
_atom_site_fract_z
La1 La 0.0000 0.0000 0.0000
Pm1 Pm 0.0000 0.0000 0.5000
Mg1 Mg 0.2500 0.2500 0.2500
Sn1 Sn 0.2500 0.2500 0.7500
# Total moment (μB/cell): 0.0
# Calculated formation energy (eV/atom): -0.4522
# Density of states at the Fermi level (states/eV per cell): 11.94

---

[4]
# SrTl2Cl, relaxed, DFT PBE
data_SrTl2Cl
_chemical_formula_sum 'Sr1 Tl2 Cl1'
_symmetry_space_group_name_H-M 'P 4 m m'
_symmetry_Int_Tables_number 99
_symmetry_space_group_name_Hall 'P 4 -2'
_cell_length_a 3.8778
_cell_length_b 3.8778
_cell_length_c 8.7353
_cell_angle_alpha 90.00
_cell_angle_beta 90.00
_cell_angle_gamma 90.00
loop_
_atom_site_label
_atom_site_type_symbol
_atom_site_fract_x
_atom_site_fract_y
_atom_site_fract_z
Sr1 Sr 0.0000 0.0000 0.0000
Tl1 Tl 0.0000 0.0000 0.4922
Tl2 Tl 0.5000 0.5000 0.2777
Cl1 Cl 0.5000 0.5000 0.8536
# Polymorph energy (0 for the lowest one) (meV per atom): 0.0
# Total moment (μB/cell): 0.0
# Density of states at the Fermi level (states/eV per cell): 1.83

---

[5]
# KZn3Cd, relaxed, DFT PBE
data_KZn3Cd
_chemical_formula_sum 'K1 Zn3 Cd1'
_symmetry_space_group_name_H-M 'P m -3 m'
_symmetry_Int_Tables_number 221
_symmetry_space_group_name_Hall '-P 4 2 3'
_cell_length_a 5.2394
_cell_length_b 5.2394
_cell_length_c 5.2394
_cell_angle_alpha 90.00
_cell_angle_beta 90.00
_cell_angle_gamma 90.00
loop_
_atom_site_label
_atom_site_type_symbol
_atom_site_fract_x
_atom_site_fract_y
_atom_site_fract_z
K1 K 0.0000 0.0000 0.0000
Zn1 Zn 0.0000 0.5000 0.5000
Cd1 Cd 0.5000 0.5000 0.5000
# Polymorph energy (0 for the lowest one) (meV per atom): 0.0
# Total moment (μB/cell): 0.0
# Calculated formation energy (eV/atom): 0.2333
# Density of states at the Fermi level (states/eV per cell): 2.83

---

[6]
# YTm2ThS4, relaxed, DFT PBE
data_YTm2ThS4
_chemical_formula_sum 'Y1 Tm2 Th1 S4'
_symmetry_space_group_name_H-M 'P 1 2/m 1'
_symmetry_Int_Tables_number 10
_symmetry_space_group_name_Hall '-P 2y'
_cell_length_a 6.7650
_cell_length_b 3.8754
_cell_length_c 6.8478
_cell_angle_alpha 90.00
_cell_angle_beta 109.01
_cell_angle_gamma 90.00
loop_
_atom_site_label
_atom_site_type_symbol
_atom_site_fract_x
_atom_site_fract_y
_atom_site_fract_z
Y1 Y 0.0000 0.0000 0.0000
Tm1 Tm 0.0000 0.5000 0.5000
Tm2 Tm 0.5000 0.0000 0.5000
Th1 Th 0.5000 0.5000 0.0000
S1 S 0.2390 0.0000 0.7337
S2 S 0.2487 0.5000 0.2620
# Total moment (μB/cell): 0.0
# DFT total energy (eV per cell): -54.606
# Density of states at the Fermi level (states/eV per cell): 3.37

---

[7]
# KCoPd2, relaxed, DFT PBE
data_KCoPd2
_chemical_formula_sum 'K4 Co4 Pd8'
_symmetry_space_group_name_H-M 'F m -3 m'
_symmetry_Int_Tables_number 225
_symmetry_space_group_name_Hall '-F 4 2 3'
_cell_length_a 6.6019
_cell_length_b 6.6019
_cell_length_c 6.6019
_cell_angle_alpha 90.00
_cell_angle_beta 90.00
_cell_angle_gamma 90.00
loop_
_atom_site_label
_atom_site_type_symbol
_atom_site_fract_x
_atom_site_fract_y
_atom_site_fract_z
K1 K 0.0000 0.0000 0.0000
Co1 Co 0.0000 0.0000 0.5000
Pd1 Pd 0.2500 0.2500 0.2500
# Polymorph energy (0 for the lowest one) (meV per atom): 95.7
# Total moment (μB/cell): 8.7
# Calculated formation energy (eV/atom): 0.6700
# Density of states at the Fermi level (states/eV per cell): 13.47

---

[8]
# Ac3SiPb2, relaxed, DFT PBE
data_Ac3SiPb2
_chemical_formula_sum 'Ac12 Si4 Pb8'
_symmetry_space_group_name_H-M 'P n m a'
_symmetry_Int_Tables_number 62
_symmetry_space_group_name_Hall '-P 2ac 2n'
_cell_length_a 13.5995
_cell_length_b 4.7229
_cell_length_c 13.1410
_cell_angle_alpha 90.00
_cell_angle_beta 90.00
_cell_angle_gamma 90.00
loop_
_atom_site_label
_atom_site_type_symbol
_atom_site_fract_x
_atom_site_fract_y
_atom_site_fract_z
Ac1 Ac 0.0583 0.2500 0.1200
Ac2 Ac 0.1134 0.7500 0.5458
Ac3 Ac 0.2354 0.2500 0.7885
Si1 Si 0.1235 0.2500 0.3696
Pb1 Pb 0.0000 0.2500 0.7015
Pb2 Pb 0.1938 0.7500 0.9963
# Polymorph energy (0 for the lowest one) (meV per atom): 0.0
# Total moment (μB/cell): 0.4
# Density of states at the Fermi level (states/eV per cell): 22.75